No. 1
Compound: NbCrCl3
Source: Alexandria
Functional: PBE
Structure: optimized geometry

Output
**Total magnetic moment**: 8.00 μB/f.u.
**Mass density**: 3.2 g/cm3
**Total energy**: -5.15 eV per atom
**Formation energy from raw total energies**: -0.105 eV/atom

a b c (Å): 5.0522 5.0522 5.0522
angles (deg): 90.00 90.00 90.00
Last column: nearest neighbours and their distance in Å.
Fractional positions:
Cl: 0.0000 0.5000 0.0000  2 Nb 2.53
Cl: 0.0000 0.0000 0.5000  2 Nb 2.53
Cl: 0.5000 0.0000 0.0000  2 Nb 2.53
Nb: 0.0000 0.0000 0.0000  6 Cl 2.53
Cr: 0.5000 0.5000 0.5000  12 Cl 3.57

No. 2
Compound: Nb2Cr2Cl7
Source: Alexandria
Functional: PBE
Structure: optimized geometry

Output
**Total magnetic moment**: 7.00 μB/f.u.
**Mass density**: 2.8 g/cm3
**Total energy**: -5.58 eV per atom
**Formation energy from raw total energies**: -0.820 eV/atom

a b c (Å): 6.1275 6.1275 21.0236
angles (deg): 75.96 75.96 114.36
Last column: nearest neighbours and their distance in Å.
Fractional positions:
Nb: 0.6325 0.3684 0.9998  6 Cl 2.49-2.71, 1 Nb 2.72
Nb: 0.3684 0.6325 0.4998  6 Cl 2.49-2.71, 1 Nb 2.72
Nb: 0.6316 0.3675 0.5002  6 Cl 2.49-2.71, 1 Nb 2.72
Nb: 0.3675 0.6316 0.0002  6 Cl 2.49-2.71, 1 Nb 2.72
Cl: 0.9018 0.2518 0.0731  1 Cr 2.50, 2 Nb 2.57-2.70
Cl: 0.6034 0.6028 0.0806  1 Cr 2.31, 2 Nb 2.49-2.50
Cl: 0.3966 0.3972 0.9194  1 Cr 2.31, 2 Nb 2.49-2.50
Cl: 0.0982 0.7482 0.9269  1 Cr 2.50, 2 Nb 2.57-2.70
Cl: 0.2531 0.9025 0.0743  1 Cr 2.49, 2 Nb 2.57-2.71
Cl: 0.2518 0.9018 0.5731  1 Cr 2.50, 2 Nb 2.57-2.70
Cl: 0.7469 0.0975 0.9257  1 Cr 2.49, 2 Nb 2.57-2.71
Cl: 0.0975 0.7469 0.4257  1 Cr 2.49, 2 Nb 2.57-2.71
Cl: 0.0352 0.9648 0.7500  2 Cr 2.37
Cl: 0.9025 0.2531 0.5743  1 Cr 2.49, 2 Nb 2.57-2.71
Cl: 0.7482 0.0982 0.4269  1 Cr 2.50, 2 Nb 2.57-2.70
Cl: 0.6028 0.6034 0.5806  1 Cr 2.31, 2 Nb 2.49-2.50
Cl: 0.9648 0.0352 0.2500  2 Cr 2.37
Cl: 0.3972 0.3966 0.4194  1 Cr 2.31, 2 Nb 2.49-2.50
Cr: 0.7850 0.7850 0.3737  4 Cl 2.31-2.50
Cr: 0.2150 0.2150 0.1263  4 Cl 2.31-2.50
Cr: 0.7850 0.7850 0.8737  4 Cl 2.31-2.50
Cr: 0.2150 0.2150 0.6263  4 Cl 2.31-2.50

No. 3
Compound: Nb2CrCl
Source: Alexandria
Functional: PBE
Structure: optimized geometry

Output
**Total magnetic moment**: 0.00 μB/f.u.
**Mass density**: 7.1 g/cm3
**Total energy**: -7.22 eV per atom
**Formation energy from raw total energies**: 0.683 eV/atom

a b c (Å): 4.4817 4.4817 4.4817
angles (deg): 60.00 60.00 60.00
Last column: nearest neighbours and their distance in Å.
Fractional positions:
Cr: 0.5000 0.5000 0.5000  8 Nb 2.74
Cl: 0.0000 0.0000 0.0000  8 Nb 2.74
Nb: 0.2500 0.2500 0.2500  4 Cr 2.74, 4 Cl 2.74
Nb: 0.7500 0.7500 0.7500  4 Cr 2.74, 4 Cl 2.74

No. 4
Compound: NbCrCl2
Source: Alexandria
Functional: PBE
Structure: optimized geometry

Output
**Total magnetic moment**: 4.99 μB/f.u.
**Mass density**: 5.5 g/cm3
**Total energy**: -5.51 eV per atom
**Formation energy from raw total energies**: 0.337 eV/atom

a b c (Å): 4.5226 4.5226 4.5226
angles (deg): 60.00 60.00 60.00
Last column: nearest neighbours and their distance in Å.
Fractional positions:
Nb: 0.5000 0.5000 0.5000  8 Cl 2.77
Cl: 0.7500 0.7500 0.7500  4 Cr 2.77, 4 Nb 2.77
Cl: 0.2500 0.2500 0.2500  4 Cr 2.77, 4 Nb 2.77
Cr: 0.0000 0.0000 0.0000  8 Cl 2.77